No. 1
! NbTcAs2 GGA-PBE relaxed; values from VASP
! * SG: R-3m
! * total energy: -29.79 eV for the cell shown
! * ΔE to the lowest computed polymorph: 0.62 eV/f.u.
! * DFT formation energy: -0.059 eV/f.u.
&SYSTEM
  ibrav = 0, nat = 4, ntyp = 3
/
ATOMIC_SPECIES
Nb 92.91 Nb.upf
Tc 98.00 Tc.upf
As 74.92 As.upf
ATOMIC_POSITIONS angstrom
Nb 0.000 0.000 0.000
Tc 0.000 0.000 7.758
As 0.000 0.000 3.741
As 0.000 0.000 11.774
CELL_PARAMETERS angstrom
1.953 1.127 5.172
-1.953 1.127 5.172
0.000 -2.255 5.172


No. 2
! Cs2AgOsS4 GGA-PBE relaxed; values from VASP
! * SG: Fddd
! * total energy: -72.71 eV for the cell shown
! * raw formation energy: -0.51 eV per atom
&SYSTEM
  ibrav = 0, nat = 16, ntyp = 4
/
ATOMIC_SPECIES
Cs 132.91 Cs.upf
Ag 107.87 Ag.upf
Os 190.23 Os.upf
S 32.06 S.upf
ATOMIC_POSITIONS angstrom
Cs 2.365 5.181 1.283
Cs 3.942 8.636 7.363
Cs 2.365 5.181 16.958
Cs 3.942 8.636 23.039
Ag 0.788 1.727 3.040
Ag 5.519 12.090 21.281
Os 2.365 5.181 9.121
Os 3.942 8.636 15.201
S 3.690 3.912 7.861
S 3.690 6.450 10.380
S 5.267 7.367 16.460
S 5.267 9.905 13.942
S 1.041 3.912 10.380
S 1.041 6.450 7.861
S 2.618 7.367 13.942
S 2.618 9.905 16.460
CELL_PARAMETERS angstrom
0.000 6.909 12.161
3.154 0.000 12.161
3.154 6.909 0.000


No. 3
! Er2ZnIn GGA-PBE relaxed; values from VASP
! * SG: P4/mmm
! * total energy: -14.78 eV for the cell shown
! * DFT formation energy: -1.639 eV/f.u.
&SYSTEM
  ibrav = 0, nat = 4, ntyp = 3
/
ATOMIC_SPECIES
Er 167.26 Er.upf
Zn 65.41 Zn.upf
In 114.82 In.upf
ATOMIC_POSITIONS angstrom
Er 0.000 0.000 1.698
Er 0.000 0.000 5.678
Zn 1.803 1.803 0.000
In 1.803 1.803 3.688
CELL_PARAMETERS angstrom
3.607 0.000 0.000
0.000 3.607 0.000
0.000 0.000 7.377


No. 4
! NpIn5 GGA-PBE relaxed; values from VASP
! * SG: Cmmm
! * total energy: -26.25 eV for the cell shown
! * DFT formation energy: 0.387 eV/f.u.
&SYSTEM
  ibrav = 0, nat = 6, ntyp = 2
/
ATOMIC_SPECIES
Np 237.00 Np.upf
In 114.82 In.upf
ATOMIC_POSITIONS angstrom
Np 0.000 0.000 0.000
In 2.322 4.707 2.345
In 2.322 2.377 0.000
In 2.322 0.000 2.345
In 2.322 -2.377 0.000
In 2.322 -4.707 2.345
CELL_PARAMETERS angstrom
2.322 -7.042 0.000
2.322 7.042 0.000
0.000 0.000 4.691


No. 5
! TeRhF2 GGA-PBE relaxed; values from VASP
! * SG: I-42d
! * total energy: -32.87 eV for the cell shown
! * ΔE to the lowest computed polymorph: 0.18 eV/f.u.
! * raw formation energy: -0.55 eV per atom
&SYSTEM
  ibrav = 0, nat = 8, ntyp = 3
/
ATOMIC_SPECIES
Te 127.60 Te.upf
Rh 102.91 Rh.upf
F 19.00 F.upf
ATOMIC_POSITIONS angstrom
Te 0.000 0.000 0.000
Te 0.000 3.731 1.289
Rh 3.731 0.000 1.289
Rh 0.000 0.000 2.578
F 1.865 2.771 -0.645
F 4.690 1.865 0.645
F 1.865 0.960 1.934
F -0.960 1.865 3.223
CELL_PARAMETERS angstrom
-3.731 3.731 2.578
3.731 -3.731 2.578
3.731 3.731 -2.578


No. 6
! YS2I GGA-PBE relaxed; values from VASP
! * SG: R-3m
! * total energy: -21.06 eV for the cell shown
! * ΔE to the lowest computed polymorph: 0.00 eV/f.u.
! * raw formation energy: -1.20 eV per atom
&SYSTEM
  ibrav = 0, nat = 4, ntyp = 3
/
ATOMIC_SPECIES
Y 88.91 Y.upf
S 32.06 S.upf
I 126.90 I.upf
ATOMIC_POSITIONS angstrom
Y 0.000 0.000 0.000
S 0.000 0.000 9.340
S 0.000 0.000 14.622
I 0.000 0.000 11.981
CELL_PARAMETERS angstrom
2.097 1.211 7.987
-2.097 1.211 7.987
0.000 -2.421 7.987


No. 7
! RbBaLi2 GGA-PBE relaxed; values from VASP
! * SG: P4/mmm
! * total energy: -6.18 eV for the cell shown
! * ΔE to the lowest computed polymorph: 0.00 eV/f.u.
! * DFT formation energy: 0.535 eV/f.u.
&SYSTEM
  ibrav = 0, nat = 4, ntyp = 3
/
ATOMIC_SPECIES
Rb 85.47 Rb.upf
Ba 137.33 Ba.upf
Li 6.94 Li.upf
ATOMIC_POSITIONS angstrom
Rb 0.000 0.000 0.000
Ba 0.000 0.000 4.932
Li 2.197 2.197 2.729
Li 2.197 2.197 7.135
CELL_PARAMETERS angstrom
4.395 0.000 0.000
0.000 4.395 0.000
0.000 0.000 9.864


No. 8
! LiMnSb2Ir GGA-PBE relaxed; values from VASP
! * SG: P4/mmm
! * total energy: -26.05 eV for the cell shown
! * raw formation energy: 0.43 eV per atom
&SYSTEM
  ibrav = 0, nat = 5, ntyp = 4
/
ATOMIC_SPECIES
Li 6.94 Li.upf
Mn 54.94 Mn.upf
Sb 121.76 Sb.upf
Ir 192.22 Ir.upf
ATOMIC_POSITIONS angstrom
Li 0.000 0.000 0.000
Mn 2.560 2.560 0.000
Sb 0.000 2.560 2.301
Sb 2.560 0.000 2.301
Ir 0.000 0.000 2.301
CELL_PARAMETERS angstrom
5.119 0.000 0.000
0.000 5.119 0.000
0.000 0.000 4.603


No. 9
! BeCuAs GGA-PBE relaxed; values from VASP
! * SG: P3m1
! * total energy: -11.84 eV for the cell shown
! * DFT formation energy: 0.635 eV/f.u.
&SYSTEM
  ibrav = 0, nat = 3, ntyp = 3
/
ATOMIC_SPECIES
Be 9.01 Be.upf
Cu 63.55 Cu.upf
As 74.92 As.upf
ATOMIC_POSITIONS angstrom
Be 0.000 0.000 0.000
Cu 1.869 1.079 1.707
As 0.000 2.159 3.515
CELL_PARAMETERS angstrom
3.739 0.000 0.000
-1.869 3.238 0.000
0.000 0.000 3.584


No. 10
! La2ReRu GGA-PBE relaxed; values from VASP
! * SG: Pm
! * total energy: -30.60 eV for the cell shown
! * ΔE to the lowest computed polymorph: 0.91 eV/f.u.
! * DFT formation energy: 0.976 eV/f.u.
&SYSTEM
  ibrav = 0, nat = 4, ntyp = 3
/
ATOMIC_SPECIES
La 138.91 La.upf
Re 186.21 Re.upf
Ru 101.07 Ru.upf
ATOMIC_POSITIONS angstrom
La 0.000 0.000 0.000
La 0.488 2.001 4.762
Re 1.283 2.001 2.005
Ru 2.459 0.000 2.858
CELL_PARAMETERS angstrom
3.131 0.000 0.000
0.000 4.002 0.000
-0.661 0.000 8.110


No. 11
! TbErTh2 GGA-PBE relaxed; values from VASP
! * SG: P4/mmm
! * total energy: -23.85 eV for the cell shown
! * ΔE to the lowest computed polymorph: 0.06 eV/f.u.
! * DFT formation energy: 0.183 eV/f.u.
&SYSTEM
  ibrav = 0, nat = 4, ntyp = 3
/
ATOMIC_SPECIES
Tb 158.93 Tb.upf
Er 167.26 Er.upf
Th 232.04 Th.upf
ATOMIC_POSITIONS angstrom
Tb 0.000 0.000 0.000
Er 2.507 2.507 0.000
Th 0.000 2.507 2.532
Th 2.507 0.000 2.532
CELL_PARAMETERS angstrom
5.014 0.000 0.000
0.000 5.014 0.000
0.000 0.000 5.065


No. 12
! SrY2Si GGA-PBE relaxed; values from VASP
! * SG: P4/mmm
! * total energy: -20.81 eV for the cell shown
! * raw formation energy: -0.19 eV per atom
&SYSTEM
  ibrav = 0, nat = 4, ntyp = 3
/
ATOMIC_SPECIES
Sr 87.62 Sr.upf
Y 88.91 Y.upf
Si 28.09 Si.upf
ATOMIC_POSITIONS angstrom
Sr 0.000 0.000 0.000
Y 1.776 1.776 3.254
Y 1.776 1.776 6.650
Si 0.000 0.000 4.952
CELL_PARAMETERS angstrom
3.553 0.000 0.000
0.000 3.553 0.000
0.000 0.000 9.904


No. 13
! LiHoSiO4 GGA-PBE relaxed; values from VASP
! * SG: Imma
! * total energy: -103.38 eV for the cell shown
! * raw formation energy: -2.85 eV per atom
&SYSTEM
  ibrav = 0, nat = 14, ntyp = 4
/
ATOMIC_SPECIES
Li 6.94 Li.upf
Ho 164.93 Ho.upf
Si 28.09 Si.upf
O 16.00 O.upf
ATOMIC_POSITIONS angstrom
Li -1.450 1.693 2.012
Li 1.450 1.693 2.012
Ho 0.000 0.000 0.000
Ho 0.000 3.386 0.000
Si 2.901 1.693 -0.919
Si 0.000 1.693 4.943
O 2.901 -0.308 1.815
O 2.901 3.078 -1.815
O 1.521 1.693 0.075
O 4.281 1.693 0.075
O -1.380 1.693 3.949
O 1.380 1.693 3.949
O 0.000 0.308 5.839
O 0.000 3.695 2.210
CELL_PARAMETERS angstrom
-2.901 3.386 4.025
2.901 -3.386 4.025
2.901 3.386 -4.025


No. 14
! CsSmBi GGA-PBE relaxed; values from VASP
! * SG: I4mm
! * total energy: -10.48 eV for the cell shown
! * DFT formation energy: -1.022 eV/f.u.
&SYSTEM
  ibrav = 0, nat = 3, ntyp = 3
/
ATOMIC_SPECIES
Cs 132.91 Cs.upf
Sm 150.36 Sm.upf
Bi 208.98 Bi.upf
ATOMIC_POSITIONS angstrom
Cs 0.000 0.000 0.000
Sm 0.000 0.000 3.899
Bi 0.000 0.000 10.719
CELL_PARAMETERS angstrom
-2.208 2.208 7.476
2.208 -2.208 7.476
2.208 2.208 -7.476


No. 15
! Zn2PCl GGA-PBE relaxed; values from VASP
! * SG: Pmmm
! * total energy: -8.26 eV for the cell shown
! * ΔE to the lowest computed polymorph: 3.66 eV/f.u.
! * raw formation energy: 0.39 eV per atom
&SYSTEM
  ibrav = 0, nat = 4, ntyp = 3
/
ATOMIC_SPECIES
Zn 65.41 Zn.upf
P 30.97 P.upf
Cl 35.45 Cl.upf
ATOMIC_POSITIONS angstrom
Zn 0.000 0.000 0.000
Zn 1.436 2.287 0.000
P 0.000 2.287 2.681
Cl 1.436 0.000 2.681
CELL_PARAMETERS angstrom
2.872 0.000 0.000
0.000 4.575 0.000
0.000 0.000 5.363


No. 16
! PPb GGA-PBE relaxed; values from VASP
! * SG: P2_12_12_1
! * total energy: -70.85 eV for the cell shown
! * DFT formation energy: 0.262 eV/f.u.
&SYSTEM
  ibrav = 0, nat = 16, ntyp = 2
/
ATOMIC_SPECIES
P 30.97 P.upf
Pb 207.20 Pb.upf
ATOMIC_POSITIONS angstrom
P 1.078 0.396 0.064
P 1.281 5.729 8.244
P 2.226 1.513 3.616
P 2.429 6.846 4.692
P 4.585 3.225 9.192
P 4.789 5.133 1.012
P 5.733 2.108 5.640
P 5.937 4.016 4.564
Pb 0.091 2.790 8.026
Pb 0.459 5.386 1.635
Pb 3.048 1.856 6.263
Pb 3.416 4.451 3.398
Pb 3.599 0.831 1.231
Pb 3.966 5.477 7.621
Pb 6.555 1.765 2.993
Pb 6.923 6.411 5.859
CELL_PARAMETERS angstrom
7.015 0.000 0.000
0.000 7.242 0.000
0.000 0.000 9.256


No. 17
! Sr4InBi8 GGA-PBE relaxed; values from VASP
! * SG: Pmm2
! * total energy: -46.97 eV for the cell shown
! * DFT formation energy: -6.458 eV/f.u.
&SYSTEM
  ibrav = 0, nat = 13, ntyp = 3
/
ATOMIC_SPECIES
Sr 87.62 Sr.upf
In 114.82 In.upf
Bi 208.98 Bi.upf
ATOMIC_POSITIONS angstrom
Sr 0.000 0.000 0.000
Sr 0.000 2.513 8.865
Sr 2.338 0.000 15.018
Sr 2.338 2.513 5.353
In 0.000 2.513 13.623
Bi 0.000 0.000 5.906
Bi 0.000 0.000 11.631
Bi 0.000 2.513 2.561
Bi 0.000 2.513 16.635
Bi 2.338 0.000 2.823
Bi 2.338 0.000 8.155
Bi 2.338 2.513 11.614
Bi 2.338 2.513 18.947
CELL_PARAMETERS angstrom
4.677 0.000 0.000
0.000 5.025 0.000
0.000 0.000 19.282


No. 18
! PrGaNi GGA-PBE relaxed; values from VASP
! * SG: I4mm
! * total energy: -14.50 eV for the cell shown
! * DFT formation energy: -0.915 eV/f.u.
&SYSTEM
  ibrav = 0, nat = 3, ntyp = 3
/
ATOMIC_SPECIES
Pr 140.91 Pr.upf
Ga 69.72 Ga.upf
Ni 58.69 Ni.upf
ATOMIC_POSITIONS angstrom
Pr 0.000 0.000 0.000
Ga 0.000 0.000 3.123
Ni 0.000 0.000 7.572
CELL_PARAMETERS angstrom
-1.641 1.641 5.437
1.641 -1.641 5.437
1.641 1.641 -5.437


No. 19
! Ta2CoAgH GGA-PBE relaxed; values from VASP
! * SG: P4/mmm
! * total energy: -36.29 eV for the cell shown
&SYSTEM
  ibrav = 0, nat = 5, ntyp = 4
/
ATOMIC_SPECIES
Ta 180.95 Ta.upf
Co 58.93 Co.upf
Ag 107.87 Ag.upf
H 1.01 H.upf
ATOMIC_POSITIONS angstrom
Ta 0.000 2.038 0.000
Ta 2.038 0.000 0.000
Co 0.000 0.000 1.982
Ag 2.038 2.038 1.982
H 0.000 0.000 0.000
CELL_PARAMETERS angstrom
4.075 0.000 0.000
0.000 4.075 0.000
0.000 0.000 3.964


No. 20
! NiSbCI2 GGA-PBE relaxed; values from VASP
! * SG: P4/mmm
! * total energy: -14.34 eV for the cell shown
! * ΔE to the lowest computed polymorph: 0.39 eV/f.u.
! * raw formation energy: 1.58 eV per atom
&SYSTEM
  ibrav = 0, nat = 5, ntyp = 4
/
ATOMIC_SPECIES
Ni 58.69 Ni.upf
Sb 121.76 Sb.upf
C 12.01 C.upf
I 126.90 I.upf
ATOMIC_POSITIONS angstrom
Ni 0.000 0.000 0.000
Sb 0.000 0.000 2.422
C 2.674 2.674 2.422
I 0.000 2.674 0.000
I 2.674 0.000 0.000
CELL_PARAMETERS angstrom
5.348 0.000 0.000
0.000 5.348 0.000
0.000 0.000 4.844


No. 21
! Sm7Dy4Ho GGA-PBE relaxed; values from VASP
! * SG: C2/m
! * total energy: -52.81 eV for the cell shown
! * ΔE to the lowest computed polymorph: 3.17 eV/f.u.
! * DFT formation energy: 3.210 eV/f.u.
&SYSTEM
  ibrav = 0, nat = 12, ntyp = 3
/
ATOMIC_SPECIES
Sm 150.36 Sm.upf
Dy 162.50 Dy.upf
Ho 164.93 Ho.upf
ATOMIC_POSITIONS angstrom
Sm 0.000 0.000 0.000
Sm -2.978 0.000 10.359
Sm -1.150 0.000 7.646
Sm 1.462 0.000 5.625
Sm 4.605 0.000 5.610
Sm 7.218 0.000 3.590
Sm 9.046 0.000 0.876
Dy -1.164 0.000 3.606
Dy 3.058 0.000 2.512
Dy 3.010 0.000 8.723
Dy 7.231 0.000 7.629
Ho 6.025 0.000 0.000
CELL_PARAMETERS angstrom
6.025 -2.991 0.000
6.025 2.991 0.000
-5.982 0.000 11.235


No. 22
! TbTh2Ge3 GGA-PBE relaxed; values from VASP
! * SG: P2_1/c
! * total energy: -151.12 eV for the cell shown
! * DFT formation energy: -4.458 eV/f.u.
&SYSTEM
  ibrav = 0, nat = 24, ntyp = 3
/
ATOMIC_SPECIES
Tb 158.93 Tb.upf
Th 232.04 Th.upf
Ge 72.64 Ge.upf
ATOMIC_POSITIONS angstrom
Tb 1.508 1.071 1.067
Tb 1.508 5.274 5.349
Tb 4.532 7.415 3.215
Tb 4.532 11.618 7.497
Th 1.507 1.054 5.374
Th 1.507 5.290 1.092
Th 1.515 9.499 1.075
Th 1.514 9.534 5.357
Th 4.525 3.155 3.207
Th 4.525 3.190 7.489
Th 4.532 7.399 7.472
Th 4.532 11.635 3.190
Ge 1.505 3.165 3.223
Ge 1.505 3.180 7.505
Ge 1.513 7.378 7.473
Ge 1.512 7.390 3.240
Ge 1.512 11.644 7.522
Ge 1.513 11.655 3.191
Ge 4.527 1.034 5.373
Ge 4.527 1.045 1.042
Ge 4.527 5.299 5.324
Ge 4.527 5.311 1.091
Ge 4.535 9.509 1.059
Ge 4.535 9.524 5.340
CELL_PARAMETERS angstrom
6.040 0.000 0.000
0.000 12.689 0.000
0.000 0.000 8.564


No. 23
! RbNa2I2 GGA-PBE relaxed; values from VASP
! * SG: P4/mbm
! * total energy: -21.81 eV for the cell shown
! * ΔE to the lowest computed polymorph: 0.39 eV/f.u.
! * raw formation energy: -0.84 eV per atom
&SYSTEM
  ibrav = 0, nat = 10, ntyp = 3
/
ATOMIC_SPECIES
Rb 85.47 Rb.upf
Na 22.99 Na.upf
I 126.90 I.upf
ATOMIC_POSITIONS angstrom
Rb 0.000 0.000 0.000
Rb 4.803 4.803 0.000
Na 1.347 3.456 2.313
Na 3.456 8.260 2.313
Na 6.150 1.347 2.313
Na 8.260 6.150 2.313
I 1.489 6.292 0.000
I 3.314 1.489 0.000
I 6.292 8.117 0.000
I 8.117 3.314 0.000
CELL_PARAMETERS angstrom
9.606 0.000 0.000
0.000 9.606 0.000
0.000 0.000 4.626


No. 24
! TiNbNiPd GGA-PBE relaxed; values from VASP
! * SG: F-43m
! * total energy: -29.75 eV for the cell shown
! * DFT formation energy: -0.813 eV/f.u.
&SYSTEM
  ibrav = 0, nat = 4, ntyp = 4
/
ATOMIC_SPECIES
Ti 47.87 Ti.upf
Nb 92.91 Nb.upf
Ni 58.69 Ni.upf
Pd 106.42 Pd.upf
ATOMIC_POSITIONS angstrom
Ti 0.000 0.000 0.000
Nb 4.649 4.649 4.649
Ni 3.099 3.099 3.099
Pd 1.550 1.550 1.550
CELL_PARAMETERS angstrom
0.000 3.099 3.099
3.099 0.000 3.099
3.099 3.099 0.000


No. 25
! Tb6ZnC3 GGA-PBE relaxed; values from VASP
! * SG: P2_1/m
! * total energy: -116.71 eV for the cell shown
! * DFT formation energy: -1.628 eV/f.u.
&SYSTEM
  ibrav = 0, nat = 20, ntyp = 3
/
ATOMIC_SPECIES
Tb 158.93 Tb.upf
Zn 65.41 Zn.upf
C 12.01 C.upf
ATOMIC_POSITIONS angstrom
Tb -0.089 0.907 1.428
Tb 0.070 2.722 4.960
Tb 0.015 0.907 8.206
Tb 3.124 2.722 0.206
Tb 2.541 0.907 3.275
Tb 3.095 0.907 6.562
Tb 5.155 2.722 4.432
Tb 5.709 2.722 7.719
Tb 5.125 0.907 10.788
Tb 8.235 2.722 2.788
Tb 8.179 0.907 6.034
Tb 8.338 2.722 9.566
Zn 2.882 2.722 9.160
Zn 5.368 0.907 1.834
C -1.352 2.722 7.155
C -0.946 0.907 10.464
C 2.689 2.722 4.891
C 5.560 0.907 6.103
C 9.196 2.722 0.530
C 9.601 0.907 3.839
CELL_PARAMETERS angstrom
10.817 0.000 0.000
0.000 3.630 0.000
-2.568 0.000 10.994